An optimized crystal structure of ErPd9Pb2, computed with PBE.

Output
Its size of the total moment is 0.0 μB/cell. The calculation puts the density at 12.289 g/cm3. The value obtained for the calculated volume is 208.02 Å³/cell. The energy of formation from the pure elements is -0.4965 eV/atom. The total energy comes out at -5.39 eV per atom.

Cell lengths 4.112, 4.112, 12.302 Å; angles 90.00, 90.00, 90.00 degrees
Sites, in units of the cell vectors:
Er  0.000  0.000  0.000
Pd  0.000  0.500  0.166
Pd  0.000  0.500  0.500
Pd  0.000  0.500  0.834
Pd  0.500  0.000  0.166
Pd  0.500  0.000  0.500
Pd  0.500  0.000  0.834
Pd  0.500  0.500  0.000
Pd  0.500  0.500  0.335
Pd  0.500  0.500  0.665
Pb  0.000  0.000  0.332
Pb  0.000  0.000  0.668

An optimized crystal structure of AlTl2Zn, computed with PBE.

Output
Its size of the total moment is 0.0 μB/cell. The calculation puts the density at 8.629 g/cm3. The value obtained for the calculated volume is 96.44 Å³/cell. The energy of formation from the pure elements is 0.2576 eV/atom. The total energy comes out at -2.18 eV per atom.

Cell lengths 5.048, 5.048, 5.868 Å; angles 101.94, 101.94, 41.40 degrees
Sites, in units of the cell vectors:
Al  0.000  0.000  0.000
Tl  0.248  0.248  0.746
Tl  0.752  0.752  0.254
Zn  0.500  0.500  0.500

An optimized crystal structure of Cr2SbRhI, computed with PBE.

Output
Its size of the total moment is 10.0 μB/cell. The calculation puts the density at 4.717 g/cm3. The value obtained for the calculated volume is 160.38 Å³/cell. The total energy comes out at -4.96 eV per atom.

Cell lengths 5.098, 5.098, 6.170 Å; angles 90.00, 90.00, 90.00 degrees
Sites, in units of the cell vectors:
Cr  0.000  0.500  0.000
Cr  0.500  0.000  0.000
Sb  0.000  0.000  0.000
Rh  0.500  0.500  0.500
I  0.000  0.000  0.500

An optimized crystal structure of MgH5Rh2, computed with PBE.

Output
Its size of the total moment is 0.0 μB/cell. The calculation puts the density at 6.231 g/cm3. The value obtained for the calculated volume is 62.67 Å³/cell. The total energy comes out at -4.31 eV per atom.

Cell lengths 5.071, 5.071, 5.071 Å; angles 144.04, 123.81, 68.54 degrees
Sites, in units of the cell vectors:
Mg  0.000  0.000  0.000
H  0.133  0.345  0.787
H  0.442  0.655  0.787
H  0.500  0.000  0.500
H  0.558  0.345  0.213
H  0.867  0.655  0.213
Rh  0.290  0.790  0.500
Rh  0.710  0.210  0.500

Please write out number 2 again, unchanged.
An optimized crystal structure of AlTl2Zn, computed with PBE.

Output
Its size of the total moment is 0.0 μB/cell. The calculation puts the density at 8.629 g/cm3. The value obtained for the calculated volume is 96.44 Å³/cell. The energy of formation from the pure elements is 0.2576 eV/atom. The total energy comes out at -2.18 eV per atom.

Cell lengths 5.048, 5.048, 5.868 Å; angles 101.94, 101.94, 41.40 degrees
Sites, in units of the cell vectors:
Al  0.000  0.000  0.000
Tl  0.248  0.248  0.746
Tl  0.752  0.752  0.254
Zn  0.500  0.500  0.500

> Which of these has the highest size of the total moment?

Cr2SbRhI